No. 1
Pm5Pr3Er3 | Alexandria via LeMat-Bulk | PBE | relaxed; space group = C2 (5); E above lowest polymorph = 0.0000 eV/atom; N(E_F) = 15.9 states/eV per cell; formation energy = 0.252 eV per atom; DFT total energy = -4.46 eV/atom; V = 384.5 Å³/cell
1.0
6.392 -1.282 0.000
-2.170 7.019 -4.568
0.000 0.000 9.136
Pm Pr Er
5 3 3
direct
0.866 0.745 0.697
0.500 0.000 0.459
0.631 0.534 0.232
0.369 0.466 0.698
0.134 0.255 0.952
0.000 0.000 0.506
0.030 0.434 0.373
0.970 0.566 0.939
0.303 0.117 0.213
0.697 0.883 0.096
0.500 0.000 0.836

---

No. 2
Ba2GaBiO6 | Alexandria via LeMat-Bulk | PBE | relaxed; space group = R-3m (166); N(E_F) = 1.8 states/eV per cell; DFT total energy = -5.93 eV/atom; V = 307.8 Å³/cell
1.0
5.969 0.000 0.000
2.984 5.169 0.000
2.984 1.723 9.977
Bi O Ga Ba
2 12 2 4
direct
0.408 0.408 0.775
0.592 0.592 0.225
0.148 0.612 0.627
0.803 0.277 0.118
0.723 0.197 0.882
0.277 0.803 0.118
0.852 0.388 0.373
0.197 0.197 0.882
0.197 0.723 0.882
0.388 0.852 0.373
0.612 0.148 0.627
0.803 0.803 0.118
0.612 0.612 0.627
0.388 0.388 0.373
0.500 0.500 0.500
0.000 0.000 0.000
0.285 0.285 0.145
0.130 0.130 0.609
0.870 0.870 0.391
0.715 0.715 0.855

---

No. 3
LaAlPt3 | Alexandria via LeMat-Bulk | PBE | relaxed; space group = Pnma (62); E above lowest polymorph = 0.0000 eV/atom; N(E_F) = 7.4 states/eV per cell; formation energy = -0.996 eV per atom; DFT total energy = -6.35 eV/atom; V = 381.4 Å³/cell
1.0
-2.812 -0.233 3.099
-1.885 -7.959 -2.309
7.576 -3.708 6.596
Pt Al La
12 4 4
direct
0.750 0.118 0.203
0.250 0.849 0.220
0.750 0.651 0.720
0.750 0.932 0.586
0.250 0.382 0.703
0.250 0.882 0.797
0.250 0.568 0.086
0.250 0.349 0.280
0.750 0.618 0.297
0.250 0.068 0.414
0.750 0.151 0.780
0.750 0.432 0.914
0.750 0.402 0.144
0.750 0.902 0.356
0.250 0.098 0.644
0.250 0.598 0.856
0.250 0.682 0.511
0.250 0.182 0.989
0.750 0.318 0.489
0.750 0.818 0.011

---

No. 4
Li2Ac3Co2 | Alexandria via LeMat-Bulk | PBE | relaxed; space group = C2/m (12); N(E_F) = 5.5 states/eV per cell; formation energy = 0.106 eV per atom; DFT total energy = -4.23 eV/atom; V = 211.5 Å³/cell
1.0
-0.515 -2.810 2.959
4.018 0.836 4.350
-5.002 4.763 6.503
Co Li Ac
2 2 3
direct
0.730 0.569 0.972
0.270 0.431 0.028
0.847 0.869 0.436
0.153 0.131 0.564
0.380 0.523 0.717
0.620 0.477 0.283
0.000 0.000 0.000

---

No. 5
HfPd3C | Alexandria via LeMat-Bulk | PBE | relaxed; space group = Pm-3m (221); E above lowest polymorph = 0.0000 eV/atom; N(E_F) = 3.3 states/eV per cell; formation energy = 0.053 eV per atom; DFT total energy = -6.90 eV/atom; V = 75.1 Å³/cell
1.0
-3.852 -1.709 -0.210
1.466 -2.984 -2.599
0.904 -2.446 3.318
Pd Hf C
3 1 1
direct
0.000 0.000 0.500
0.000 0.500 0.000
0.500 0.000 0.000
0.500 0.500 0.500
0.000 0.000 0.000

---

No. 6
CeHo2Tm8 | Alexandria via LeMat-Bulk | PBE | relaxed; space group = C2/m (12); E above lowest polymorph = 0.0443 eV/atom; N(E_F) = 21.8 states/eV per cell; formation energy = 0.173 eV per atom; DFT total energy = -4.45 eV/atom; V = 351.0 Å³/cell
1.0
-0.297 3.975 -3.737
-8.923 2.390 3.894
-3.987 5.804 7.135
Tm Ho Ce
8 2 1
direct
0.235 0.187 0.187
0.266 0.602 0.133
0.238 0.547 0.547
0.266 0.133 0.602
0.762 0.453 0.453
0.765 0.813 0.813
0.734 0.398 0.867
0.734 0.867 0.398
0.248 0.716 0.716
0.752 0.284 0.284
0.000 0.000 0.000